Y4AsPt | PBE-GGA | optimized geometry

The formation energy is 0.30 eV per atom. Its crystal system is cubic. The uncorrected energy is -5.795 eV per atom.

It has space group F-43m (No. 216), with a = 8.526 Å, b = 8.526 Å, c = 8.526 Å, α = 90.00°, β = 90.00° and γ = 90.00°. Symmetry generates all atoms from Y at (0.125, 0.125, 0.125), As at (0.250, 0.250, 0.750) and Pt at (0.000, 0.000, 0.500).

CsAc2CdO5 | PBE-GGA | optimized geometry

Its crystal system is tetragonal. The calculation puts the raw formation energy at -2.202 eV per atom. The uncorrected energy is -6.067 eV per atom.

It has space group I4/mcm (No. 140), with a = 7.317 Å, b = 7.317 Å, c = 12.773 Å, α = 90.00°, β = 90.00° and γ = 90.00°. Symmetry generates all atoms from Cs at (0.000, 0.000, 0.250), Ac at (0.175, 0.325, 0.000), Cd at (0.000, 0.500, 0.250), O at (0.000, 0.000, 0.000) and O at (0.137, 0.363, 0.383).

Number 1: magnetic moment 0.00 μB per atom. Number 2: magnetic moment 0.11 μB per atom.